Material: V2TcPC
Method: DFT, PBE
State: relaxed

The structure in CIF format:
```
data_V2TcPC
_cell_length_a 3.907
_cell_length_b 3.907
_cell_length_c 4.053
_cell_angle_alpha 90.00
_cell_angle_beta 90.00
_cell_angle_gamma 90.00
_space_group_name_H-M_alt 'P 4/m m m'
_space_group_IT_number 123
_space_group_name_Hall '-P 4 2'
loop_
_atom_site_label
_atom_site_type_symbol
_atom_site_fract_x
_atom_site_fract_y
_atom_site_fract_z
V1 V 0.000 0.500 0.000
Tc1 Tc 0.000 0.000 0.500
P1 P 0.500 0.500 0.500
C1 C 0.000 0.000 0.000
```

Summary:
total magnetic moment = 0.000 μB/cell
ΔE_f = -0.059 eV/atom